Record 1
CsAlC3 | Alexandria | PBE | optimized geometry; crystal system = cubic; N(E_F) = 4.71 states/eV per cell; space-group type = Pm-3m (221); energy above the lowest structure with this stoichiometry = 0 meV/atom
1.0
4.273 0.000 0.000
0.000 4.273 0.000
0.000 0.000 4.273
Cs C Al
1 3 1
direct
0.500 0.500 0.500 Cs
0.000 0.500 0.000 C
0.000 0.000 0.500 C
0.500 0.000 0.000 C
0.000 0.000 0.000 Al

Record 2
CaInSi2Pd5 | Alexandria | PBE | optimized geometry; crystal system = tetragonal; N(E_F) = 2.47 states/eV per cell; space-group type = P4/mmm (123); E = -46.695 eV per cell
1.0
-4.537 0.521 -0.781
-0.192 -4.288 -1.745
-1.455 -2.655 6.684
Ca In Si Pd
1 1 2 5
direct
0.000 0.000 0.500 Ca
0.000 0.000 0.000 In
0.500 0.500 0.157 Si
0.500 0.500 0.843 Si
0.000 0.500 0.244 Pd
0.500 0.000 0.244 Pd
0.000 0.500 0.756 Pd
0.500 0.000 0.756 Pd
0.500 0.500 0.500 Pd

Record 3
LiP2Rh | Alexandria | PBE | optimized geometry; crystal system = orthorhombic; N(E_F) = 2.74 states/eV per cell; space-group type = Pmm2 (25); energy above the lowest structure with this stoichiometry = 151 meV/atom
1.0
-0.194 -4.330 -0.968
2.739 -0.088 -0.153
0.219 -1.016 4.504
Li P Rh
1 2 1
direct
0.500 0.750 0.763 Li
0.000 0.250 0.981 P
0.500 0.250 0.270 P
0.000 0.250 0.486 Rh

Record 4
CeSm2PbN | Alexandria | PBE | optimized geometry; crystal system = tetragonal; N(E_F) = 7.31 states/eV per cell; space-group type = P4/mmm (123); E = -31.809 eV per cell
1.0
4.866 0.000 0.000
0.000 5.002 0.000
0.000 0.000 5.002
Ce Sm Pb N
1 2 1 1
direct
0.500 0.000 0.000 Ce
0.000 0.000 0.500 Sm
0.000 0.500 0.000 Sm
0.500 0.500 0.500 Pb
0.000 0.000 0.000 N

Record 5
Rb2TlI5 | Alexandria | PBE | optimized geometry; crystal system = orthorhombic; N(E_F) = 0.07 states/eV per cell; space-group type = Fmm2 (42); energy above the lowest structure with this stoichiometry = 28 meV/atom
1.0
9.028 0.008 0.000
0.008 9.029 0.000
-4.518 -4.518 5.025
Rb Tl I
2 1 5
direct
0.266 0.766 0.532 Rb
0.766 0.266 0.532 Rb
0.965 0.965 0.930 Tl
0.796 0.255 0.052 I
0.255 0.255 0.051 I
0.796 0.796 0.051 I
0.255 0.796 0.052 I
0.677 0.677 0.355 I

Record 6
Pm3EuCo | Alexandria | PBE | optimized geometry; crystal system = cubic; N(E_F) = 6.65 states/eV per cell; space-group type = Pm-3m (221); E = -31.550 eV per cell
1.0
-4.937 -0.568 -2.311
2.198 -3.132 -3.924
-0.914 -4.462 3.049
Eu Co Pm
1 1 3
direct
0.500 0.500 0.500 Eu
0.000 0.000 0.000 Co
0.000 0.500 0.000 Pm
0.000 0.000 0.500 Pm
0.500 0.000 0.000 Pm

Record 7
TlPtRh | Alexandria | PBE | optimized geometry; crystal system = orthorhombic; N(E_F) = 4.57 states/eV per cell; space-group type = Imm2 (44); energy above the lowest structure with this stoichiometry = 84 meV/atom
1.0
-0.364 3.256 3.811
2.071 4.567 -0.332
-3.224 -3.236 -2.095
Tl Pt Rh
1 1 1
direct
0.331 0.331 0.000 Tl
0.002 0.002 0.000 Pt
0.667 0.667 0.000 Rh

Record 8
SrSc2Hg | Alexandria | PBE | optimized geometry; crystal system = tetragonal; N(E_F) = 6.38 states/eV per cell; space-group type = P4/mmm (123); energy above the lowest structure with this stoichiometry = 111 meV/atom
1.0
-1.730 0.277 3.150
2.527 -2.036 1.568
4.770 7.434 1.965
Hg Sc Sr
1 2 1
direct
0.500 0.500 0.750 Hg
0.000 0.000 0.932 Sc
0.000 0.000 0.568 Sc
0.500 0.500 0.250 Sr

Record 9
Th4BiPb2 | Alexandria | PBE | optimized geometry; crystal system = monoclinic; N(E_F) = 15.72 states/eV per cell; space-group type = P2_1/m (11); E = -85.040 eV per cell
1.0
-5.794 0.823 -2.082
-2.418 -1.896 5.979
1.573 10.048 3.822
Th Bi Pb
8 2 4
direct
0.584 0.508 0.269 Th
0.965 0.750 0.821 Th
0.035 0.250 0.179 Th
0.584 0.992 0.269 Th
0.851 0.250 0.557 Th
0.416 0.008 0.731 Th
0.416 0.492 0.731 Th
0.149 0.750 0.443 Th
0.034 0.750 0.142 Bi
0.966 0.250 0.858 Bi
0.508 0.750 0.995 Pb
0.492 0.250 0.005 Pb
0.312 0.250 0.459 Pb
0.688 0.750 0.541 Pb

Record 10
K4Y3PaTe8 | Alexandria | PBE | optimized geometry; crystal system = trigonal; N(E_F) = 10.61 states/eV per cell; space-group type = R-3m (166); E = -78.810 eV per cell
1.0
-4.416 -7.761 0.831
6.223 -2.791 7.007
-4.321 7.768 1.190
K Y Pa Te
4 3 1 8
direct
0.500 0.000 0.000 K
0.500 0.000 0.500 K
0.000 0.000 0.000 K
0.000 0.000 0.500 K
0.500 0.500 0.000 Y
0.500 0.500 0.500 Y
0.000 0.500 0.500 Y
0.000 0.500 0.000 Pa
0.238 0.711 0.974 Te
0.238 0.711 0.476 Te
0.264 0.291 0.527 Te
0.736 0.711 0.974 Te
0.264 0.289 0.026 Te
0.736 0.709 0.473 Te
0.762 0.289 0.524 Te
0.762 0.289 0.026 Te

Record 11
K2Bi2PtPb | Alexandria | PBE | optimized geometry; crystal system = orthorhombic; N(E_F) = 6.20 states/eV per cell; space-group type = Ibam (72); E = -42.255 eV per cell
1.0
7.542 0.000 0.000
0.000 7.395 0.000
-3.771 -3.697 7.820
K Bi Pt Pb
4 4 2 2
direct
0.665 0.922 0.330 K
0.165 0.408 0.330 K
0.835 0.592 0.670 K
0.335 0.078 0.670 K
0.408 0.605 0.816 Bi
0.592 0.395 0.184 Bi
0.092 0.790 0.184 Bi
0.908 0.210 0.816 Bi
0.750 0.500 0.000 Pt
0.250 0.500 0.000 Pt
0.250 0.000 0.000 Pb
0.750 0.000 0.000 Pb

Record 12
Tm2ScTe3 | Alexandria | PBE | optimized geometry; crystal system = trigonal; N(E_F) = 9.31 states/eV per cell; space-group type = R-3c (167); energy above the lowest structure with this stoichiometry = 0 meV/atom
1.0
-5.388 -3.626 3.081
-4.194 -4.272 -3.978
1.365 -8.311 0.992
Tm Sc Te
4 2 6
direct
0.168 0.168 0.496 Tm
0.332 0.332 0.004 Tm
0.832 0.832 0.504 Tm
0.668 0.668 0.996 Tm
0.500 0.500 0.500 Sc
0.000 0.000 0.000 Sc
0.910 0.590 0.250 Te
0.250 0.910 0.250 Te
0.750 0.090 0.750 Te
0.410 0.750 0.750 Te
0.090 0.410 0.750 Te
0.590 0.250 0.250 Te

Record 13
PuF3 | Alexandria | PBE | optimized geometry; crystal system = orthorhombic; N(E_F) = 12.75 states/eV per cell; space-group type = Imm2 (44); E = -33.942 eV per cell
1.0
-1.924 -0.397 3.194
3.037 -3.660 1.374
1.368 4.160 -0.860
F Pu
3 1
direct
0.295 0.666 0.591 F
0.500 0.348 0.000 F
0.705 0.076 0.409 F
0.000 0.077 0.000 Pu

Record 14
NaMoH3 | Alexandria | PBE | optimized geometry; crystal system = cubic; N(E_F) = 1.27 states/eV per cell; space-group type = Pm-3m (221); energy above the lowest structure with this stoichiometry = 928 meV/atom
1.0
-1.198 2.616 2.075
-2.085 -2.308 1.705
2.607 -0.644 2.317
Na Mo H
1 1 3
direct
0.000 0.000 0.000 Na
0.500 0.500 0.500 Mo
0.000 0.500 0.000 H
0.000 0.000 0.500 H
0.500 0.000 0.000 H

Record 15
PuSnSb2 | Alexandria | PBE | optimized geometry; crystal system = trigonal; N(E_F) = 12.14 states/eV per cell; space-group type = R3m (160); energy above the lowest structure with this stoichiometry = 197 meV/atom
1.0
4.865 0.000 0.000
2.433 4.213 0.000
2.433 1.404 6.065
Pu Sn Sb
1 1 2
direct
0.670 0.670 0.991 Pu
0.489 0.489 0.532 Sn
0.085 0.085 0.746 Sb
0.256 0.256 0.232 Sb

Record 16
LiGeAu3 | Alexandria | PBE | optimized geometry; crystal system = cubic; N(E_F) = 0.69 states/eV per cell; space-group type = Pm-3m (221); energy above the lowest structure with this stoichiometry = 269 meV/atom
1.0
-0.508 4.768 1.127
-4.473 0.011 -2.062
-1.999 -1.236 4.329
Ge Au Li
1 3 1
direct
0.000 0.000 0.000 Ge
0.000 0.500 0.000 Au
0.000 0.000 0.500 Au
0.500 0.000 0.000 Au
0.500 0.500 0.500 Li

Record 17
Tb4YRh4 | Alexandria | PBE | optimized geometry; crystal system = tetragonal; N(E_F) = 11.32 states/eV per cell; space-group type = P4_2/n (86); E = -120.494 eV per cell
1.0
5.642 0.000 0.000
0.000 8.821 0.000
0.000 0.000 8.821
Tb Y Rh
8 2 8
direct
0.407 0.318 0.913 Tb
0.907 0.587 0.818 Tb
0.407 0.682 0.087 Tb
0.093 0.182 0.587 Tb
0.593 0.913 0.682 Tb
0.093 0.818 0.413 Tb
0.907 0.413 0.182 Tb
0.593 0.087 0.318 Tb
0.000 0.000 0.000 Y
0.500 0.500 0.500 Y
0.596 0.778 0.376 Rh
0.596 0.222 0.624 Rh
0.096 0.876 0.722 Rh
0.904 0.278 0.876 Rh
0.904 0.722 0.124 Rh
0.404 0.376 0.222 Rh
0.404 0.624 0.778 Rh
0.096 0.124 0.278 Rh

Record 18
La4Ho2Th | Alexandria | PBE | optimized geometry; crystal system = trigonal; N(E_F) = 9.41 states/eV per cell; space-group type = R-3m (166); energy above the lowest structure with this stoichiometry = 0 meV/atom
1.0
3.596 0.000 0.000
1.798 3.114 0.000
1.798 1.038 21.785
La Ho Th
4 2 1
direct
0.711 0.711 0.867 La
0.289 0.289 0.133 La
0.141 0.141 0.578 La
0.859 0.859 0.422 La
0.236 0.236 0.291 Ho
0.764 0.764 0.709 Ho
0.000 0.000 0.000 Th

Record 19
YNbCoOs | Alexandria | PBE | optimized geometry; crystal system = cubic; N(E_F) = 2.09 states/eV per cell; space-group type = F-43m (216); E = -35.090 eV per cell
1.0
-0.505 1.620 4.284
0.412 -2.844 3.602
3.656 0.325 2.786
Y Co Nb Os
1 1 1 1
direct
0.000 0.000 0.000 Y
0.250 0.250 0.250 Co
0.500 0.500 0.500 Nb
0.750 0.750 0.750 Os

Record 20
SrTa2Au | Alexandria | PBE | optimized geometry; crystal system = tetragonal; N(E_F) = 6.65 states/eV per cell; space-group type = P4/mmm (123); energy above the lowest structure with this stoichiometry = 487 meV/atom
1.0
-1.066 3.399 -0.682
-2.866 -1.266 -1.826
-4.012 0.003 6.293
Au Sr Ta
1 1 2
direct
0.500 0.500 0.250 Au
0.500 0.500 0.750 Sr
0.000 0.000 0.086 Ta
0.000 0.000 0.414 Ta